1.
The following is a PBE-GGA calculation of a relaxed CaEuGa crystal, from Alexandria.

Output
Theoretical density = 4.734 g/cm³
Density of states at the Fermi level = 9.022 states/eV per cell
Distance to the lowest polymorph of the same formula = 0.147 eV/atom
Energy relative to the elements = -182 meV/atom

Cell lengths 5.260, 5.260, 3.831 Å; angles 90.00, 90.00, 120.00 degrees
Positions (direct):
1 Ca 0.000 0.000 0.000
2 Eu 0.667 0.333 0.544
3 Ga 0.333 0.667 0.216

---

2.
The following is a PBE-GGA calculation of a relaxed La3Pm12Pu crystal, from Alexandria.

Output
Theoretical density = 7.229 g/cm³
Density of states at the Fermi level = 32.490 states/eV per cell
Energy relative to the elements = 46 meV/atom

Cell lengths 5.172, 5.172, 20.612 Å; angles 90.00, 90.00, 90.00 degrees
Positions (direct):
1 La 0.000 0.000 0.000
2 La 0.000 0.000 0.253
3 La 0.000 0.000 0.747
4 Pm 0.000 0.500 0.127
5 Pm 0.000 0.500 0.381
6 Pm 0.000 0.500 0.619
7 Pm 0.000 0.500 0.873
8 Pm 0.500 0.000 0.127
9 Pm 0.500 0.000 0.381
10 Pm 0.500 0.000 0.619
11 Pm 0.500 0.000 0.873
12 Pm 0.500 0.500 0.000
13 Pm 0.500 0.500 0.254
14 Pm 0.500 0.500 0.500
15 Pm 0.500 0.500 0.746
16 Pu 0.000 0.000 0.500

---

3.
The following is a PBE-GGA calculation of a relaxed DyYBr crystal, from Alexandria.

Output
Theoretical density = 6.295 g/cm³
Density of states at the Fermi level = 3.749 states/eV per cell
Distance to the lowest polymorph of the same formula = 0.000 eV/atom
Formation energy without anion corrections = -0.744 eV/atom

Cell lengths 3.731, 3.731, 7.249 Å; angles 90.00, 90.00, 120.00 degrees
Positions (direct):
1 Dy 0.000 0.000 0.000
2 Y 0.667 0.333 0.365
3 Br 0.333 0.667 0.681

---

4.
The following is a PBE-GGA calculation of a relaxed AcPrGdBi crystal, from Alexandria.

Output
Theoretical density = 9.193 g/cm³
Density of states at the Fermi level = 3.648 states/eV per cell
Energy relative to the elements = -207 meV/atom

Cell lengths 5.724, 5.724, 5.724 Å; angles 60.00, 60.00, 60.00 degrees
Positions (direct):
1 Ac 0.000 0.000 0.000
2 Pr 0.750 0.750 0.750
3 Gd 0.250 0.250 0.250
4 Bi 0.500 0.500 0.500

---

5.
The following is a PBE-GGA calculation of a relaxed CePmBi crystal, from Alexandria.

Output
Theoretical density = 8.901 g/cm³
Density of states at the Fermi level = 8.458 states/eV per cell
Distance to the lowest polymorph of the same formula = 0.237 eV/atom
Energy relative to the elements = -432 meV/atom

Cell lengths 5.980, 5.980, 5.980 Å; angles 138.71, 138.71, 59.82 degrees
Positions (direct):
1 Ce 0.000 0.000 0.000
2 Pm 0.696 0.696 0.000
3 Bi 0.345 0.345 0.000

---

6.
The following is a PBE-GGA calculation of a relaxed Pr3Te2Rh crystal, from Alexandria.

Output
Theoretical density = 6.959 g/cm³
Density of states at the Fermi level = 5.348 states/eV per cell
Distance to the lowest polymorph of the same formula = 0.000 eV/atom
Formation energy without anion corrections = -1.131 eV/atom

Cell lengths 7.857, 7.857, 7.857 Å; angles 148.58, 132.04, 58.47 degrees
Positions (direct):
1 Pr 0.000 0.000 0.000
2 Pr 0.361 0.361 0.000
3 Pr 0.639 0.639 0.000
4 Te 0.177 0.677 0.500
5 Te 0.823 0.323 0.500
6 Rh 0.500 0.000 0.500

---

7.
The following is a PBE-GGA calculation of a relaxed Li5Pd4 crystal, from Alexandria.

Output
Theoretical density = 5.753 g/cm³
Density of states at the Fermi level = 3.185 states/eV per cell
Distance to the lowest polymorph of the same formula = 0.026 eV/atom
Energy relative to the elements = -347 meV/atom

Cell lengths 6.158, 6.158, 6.158 Å; angles 95.74, 95.74, 143.14 degrees
Positions (direct):
1 Li 0.000 0.000 0.000
2 Li 0.000 0.312 0.312
3 Li 0.000 0.688 0.688
4 Li 0.312 0.000 0.312
5 Li 0.688 0.000 0.688
6 Pd 0.333 0.333 0.666
7 Pd 0.333 0.667 0.000
8 Pd 0.667 0.333 0.000
9 Pd 0.667 0.667 0.334

---

8.
The following is a PBE-GGA calculation of a relaxed MnIn crystal, from Alexandria.

Output
Theoretical density = 7.680 g/cm³
Density of states at the Fermi level = 4.361 states/eV per cell
Energy relative to the elements = 283 meV/atom

Cell lengths 5.612, 5.612, 6.937 Å; angles 107.37, 107.37, 32.02 degrees
Positions (direct):
1 Mn 0.000 0.000 0.000
2 Mn 0.060 0.060 0.566
3 Mn 0.392 0.392 0.243
4 In 0.371 0.371 0.653
5 In 0.665 0.665 0.317
6 In 0.716 0.716 0.911

---

9.
The following is a PBE-GGA calculation of a relaxed CeCoPt crystal, from Alexandria.

Output
Theoretical density = 11.031 g/cm³
Density of states at the Fermi level = 5.962 states/eV per cell
Energy relative to the elements = -558 meV/atom

Cell lengths 4.226, 4.226, 3.837 Å; angles 90.00, 90.00, 120.00 degrees
Positions (direct):
1 Ce 0.000 0.000 0.000
2 Co 0.667 0.333 0.500
3 Pt 0.333 0.667 0.500

---

10.
The following is a PBE-GGA calculation of a relaxed Ca5ErBi4 crystal, from Alexandria.

Output
Theoretical density = 5.688 g/cm³
Density of states at the Fermi level = 4.147 states/eV per cell
Energy relative to the elements = -700 meV/atom

Cell lengths 9.050, 9.050, 7.908 Å; angles 92.91, 92.91, 32.91 degrees
Positions (direct):
1 Ca 0.000 0.000 0.000
2 Ca 0.332 0.332 0.496
3 Ca 0.339 0.339 0.011
4 Ca 0.661 0.661 0.989
5 Ca 0.668 0.668 0.504
6 Er 0.000 0.000 0.500
7 Bi 0.182 0.182 0.746
8 Bi 0.477 0.477 0.746
9 Bi 0.523 0.523 0.254
10 Bi 0.818 0.818 0.254

---

11.
The following is a PBE-GGA calculation of a relaxed Tb3NdPd crystal, from Alexandria.

Output
Theoretical density = 7.243 g/cm³
Density of states at the Fermi level = 9.399 states/eV per cell
Distance to the lowest polymorph of the same formula = 0.173 eV/atom
Energy relative to the elements = -152 meV/atom

Cell lengths 5.504, 5.504, 5.504 Å; angles 90.00, 90.00, 90.00 degrees
Positions (direct):
1 Tb 0.000 0.000 0.500
2 Tb 0.000 0.500 0.000
3 Tb 0.500 0.000 0.000
4 Nd 0.500 0.500 0.500
5 Pd 0.000 0.000 0.000

---

12.
The following is a PBE-GGA calculation of a relaxed Tb2SmPaBi4 crystal, from Alexandria.

Output
Theoretical density = 9.858 g/cm³
Density of states at the Fermi level = 7.447 states/eV per cell
Energy relative to the elements = -681 meV/atom

Cell lengths 7.801, 4.494, 7.812 Å; angles 90.00, 109.24, 90.00 degrees
Positions (direct):
1 Tb 0.000 0.000 0.000
2 Tb 0.000 0.500 0.500
3 Sm 0.500 0.000 0.500
4 Pa 0.500 0.500 0.000
5 Bi 0.248 0.000 0.751
6 Bi 0.248 0.500 0.246
7 Bi 0.752 0.000 0.249
8 Bi 0.752 0.500 0.754

---

13.
The following is a PBE-GGA calculation of a relaxed La2TeH crystal, from Alexandria.

Output
Theoretical density = 6.149 g/cm³
Calculated total energy = -19.89 eV/f.u.
Density of states at the Fermi level = 12.354 states/eV per cell

Cell lengths 6.400, 6.417, 12.296 Å; angles 90.00, 119.61, 90.00 degrees
Positions (direct):
1 La 0.079 0.237 0.074
2 La 0.079 0.763 0.574
3 La 0.316 0.230 0.824
4 La 0.316 0.770 0.324
5 La 0.684 0.230 0.676
6 La 0.684 0.770 0.176
7 La 0.921 0.237 0.426
8 La 0.921 0.763 0.926
9 Te 0.373 0.270 0.375
10 Te 0.373 0.730 0.875
11 Te 0.627 0.270 0.125
12 Te 0.627 0.730 0.625
13 H 0.011 0.110 0.873
14 H 0.011 0.890 0.373
15 H 0.989 0.110 0.627
16 H 0.989 0.890 0.127